# 1
Entry from Alexandria: an optimized crystal structure of SnPt3Se (PBE).

Cell and atoms, written as CIF:
```
data_SnPt3Se
_chemical_formula_sum 'Sn1 Pt3 Se1'
_cell_length_a 4.954
_cell_length_b 4.954
_cell_length_c 4.954
_cell_angle_alpha 90.00
_cell_angle_beta 90.00
_cell_angle_gamma 90.00
_space_group_name_H-M_alt 'P m -3 m'
_space_group_IT_number 221
_space_group_name_Hall '-P 4 2 3'
loop_
_atom_site_label
_atom_site_type_symbol
_atom_site_fract_x
_atom_site_fract_y
_atom_site_fract_z
_atom_site_occupancy
Sn1 Sn 0.000 0.000 0.000 1
Pt1 Pt 0.000 0.000 0.500 1
Se1 Se 0.500 0.500 0.500 1
```

Results
The value obtained for the energy above the most stable polymorph in this dataset is 0.6814 eV per atom. The calculation puts the uncorrected formation energy at 1.0210 eV per atom. The value obtained for the density is 10.7 Mg/m³.

=====

# 2
Entry from Alexandria: an optimized crystal structure of SnPt2Se (PBE).

Cell and atoms, written as CIF:
```
data_SnPt2Se
_chemical_formula_sum 'Sn4 Pt8 Se4'
_cell_length_a 4.949
_cell_length_b 4.949
_cell_length_c 14.906
_cell_angle_alpha 90.00
_cell_angle_beta 90.00
_cell_angle_gamma 90.00
_space_group_name_H-M_alt 'I -4 2 d'
_space_group_IT_number 122
_space_group_name_Hall 'I -4 2bw'
loop_
_atom_site_label
_atom_site_type_symbol
_atom_site_fract_x
_atom_site_fract_y
_atom_site_fract_z
_atom_site_occupancy
Sn1 Sn 0.000 0.000 0.000 1
Pt1 Pt 0.185 0.250 0.625 1
Se1 Se 0.000 0.000 0.500 1
```

Results
The calculation puts the uncorrected formation energy at -0.1910 eV per atom. The value obtained for the density is 10.7 Mg/m³.

=====

# 3
Entry from Alexandria: an optimized crystal structure of Sn3Pt2Se3 (PBE).

Cell and atoms, written as CIF:
```
data_Sn3Pt2Se3
_chemical_formula_sum 'Sn36 Pt24 Se36'
_cell_length_a 13.1180
_cell_length_b 13.1180
_cell_length_c 16.0944
_cell_angle_alpha 90.00
_cell_angle_beta 90.00
_cell_angle_gamma 120.00
_space_group_name_H-M_alt 'R -3'
_space_group_IT_number 148
_space_group_name_Hall '-R 3'
loop_
_atom_site_label
_atom_site_type_symbol
_atom_site_fract_x
_atom_site_fract_y
_atom_site_fract_z
_atom_site_occupancy
Sn1 Sn 0.0160 0.8365 0.3379 1
Sn2 Sn 0.0563 0.4560 0.6026 1
Pt1 Pt 0.0000 0.0000 0.2503 1
Pt2 Pt 0.0016 0.5025 0.7517 1
Se1 Se 0.0162 0.8349 0.8323 1
Se2 Se 0.0518 0.4480 0.0992 1
```

Results
The calculation puts the uncorrected formation energy at -0.4530 eV per atom. The value obtained for the density is 8.2 Mg/m³.

=====

# 4
Entry from Alexandria: an optimized crystal structure of TcSn2PtSe (PBE).

Cell and atoms, written as CIF:
```
data_TcSn2PtSe
_chemical_formula_sum 'Tc1 Sn2 Pt1 Se1'
_cell_length_a 5.447
_cell_length_b 5.447
_cell_length_c 4.626
_cell_angle_alpha 90.00
_cell_angle_beta 90.00
_cell_angle_gamma 90.00
_space_group_name_H-M_alt 'P 4/m m m'
_space_group_IT_number 123
_space_group_name_Hall '-P 4 2'
loop_
_atom_site_label
_atom_site_type_symbol
_atom_site_fract_x
_atom_site_fract_y
_atom_site_fract_z
_atom_site_occupancy
Tc1 Tc 0.000 0.000 0.000 1
Sn1 Sn 0.000 0.500 0.500 1
Pt1 Pt 0.500 0.500 0.000 1
Se1 Se 0.500 0.500 0.500 1
```

Results
The calculation puts the uncorrected formation energy at 1.1094 eV per atom. The value obtained for the density is 7.4 Mg/m³.

=====

# 5
Entry from Alexandria: an optimized crystal structure of Sn2PtWSe (PBE).

Cell and atoms, written as CIF:
```
data_Sn2PtWSe
_chemical_formula_sum 'Sn2 Pt1 W1 Se1'
_cell_length_a 5.128
_cell_length_b 5.128
_cell_length_c 5.168
_cell_angle_alpha 90.00
_cell_angle_beta 90.00
_cell_angle_gamma 90.00
_space_group_name_H-M_alt 'P 4/m m m'
_space_group_IT_number 123
_space_group_name_Hall '-P 4 2'
loop_
_atom_site_label
_atom_site_type_symbol
_atom_site_fract_x
_atom_site_fract_y
_atom_site_fract_z
_atom_site_occupancy
Sn1 Sn 0.000 0.500 0.000 1
Pt1 Pt 0.000 0.000 0.000 1
W1 W 0.000 0.000 0.500 1
Se1 Se 0.500 0.500 0.500 1
```

Results
The calculation puts the uncorrected formation energy at 0.9266 eV per atom. The value obtained for the density is 8.5 Mg/m³.

=====

# 6
Entry from Alexandria: an optimized crystal structure of SrPt2Se (PBE).

Cell and atoms, written as CIF:
```
data_SrPt2Se
_chemical_formula_sum 'Sr1 Pt2 Se1'
_cell_length_a 4.177
_cell_length_b 4.391
_cell_length_c 5.387
_cell_angle_alpha 90.00
_cell_angle_beta 90.00
_cell_angle_gamma 90.00
_space_group_name_H-M_alt 'P m m m'
_space_group_IT_number 47
loop_
_space_group_symop_operation_xyz
'x,y,z'
'-x,-y,-z'
'-x,-y,z'
'x,y,-z'
'x,-y,-z'
'-x,y,z'
'-x,y,-z'
'x,-y,z'
loop_
_atom_site_label
_atom_site_type_symbol
_atom_site_fract_x
_atom_site_fract_y
_atom_site_fract_z
_atom_site_occupancy
Sr1 Sr 0.000 0.000 0.000 1
Pt1 Pt 0.500 0.500 0.240 1
Se1 Se 0.000 0.500 0.500 1
```

Results
The calculation puts the uncorrected formation energy at -0.6490 eV per atom. The value obtained for the density is 9.4 Mg/m³.

=====

The total magnetization results, record by record, are as follows: 0.0, 0.0, 0.0, 3.2, 3.4, 0.0 μB/cell.
The DOS at the Fermi energy results, record by record, are as follows: 2.7, 0.9, 4.0, 2.9, 4.3, 3.0 states/eV/f.u..